P | Entry from Alexandria: an optimized crystal structure of KHf3In (PBE).

a b c (Å): 5.443 5.443 5.443
angles (deg): 90.00 90.00 90.00
Space group Pm-3m (No. 221)
Symmetry-distinct sites (fractional):
K 0.000 0.000 0.000 x1
Hf 0.000 0.500 0.500 x3
In 0.500 0.500 0.500 x1

Values from the calculation:
total moment = 2.0 μB per cell
DOS at the Fermi energy = 1.88 states/eV/atom



Q | Entry from Alexandria: an optimized crystal structure of KHf3In (PBE).

a b c (Å): 4.953 4.953 4.953
angles (deg): 90.00 90.00 90.00
Space group Pm-3m (No. 221)
Symmetry-distinct sites (fractional):
K 0.000 0.000 0.000 x1
Hf 0.000 0.000 0.500 x3
In 0.500 0.500 0.500 x1

Values from the calculation:
total moment = 1.9 μB per cell
DOS at the Fermi energy = 1.21 states/eV/atom



Which of them is least stable? Easy: Q.



P | Entry from Alexandria: an optimized crystal structure of KHfIn3 (PBE).

a b c (Å): 5.677 5.677 5.677
angles (deg): 90.00 90.00 90.00
Space group Pm-3m (No. 221)
Symmetry-distinct sites (fractional):
K 0.000 0.000 0.000 x1
Hf 0.500 0.500 0.500 x1
In 0.000 0.500 0.500 x3

Values from the calculation:
total moment = 0.5 μB per cell
DOS at the Fermi energy = 1.21 states/eV/atom



Q | Entry from Alexandria: an optimized crystal structure of KHfIn3 (PBE).

a b c (Å): 5.535 5.535 5.535
angles (deg): 90.00 90.00 90.00
Space group Pm-3m (No. 221)
Symmetry-distinct sites (fractional):
K 0.000 0.000 0.000 x1
Hf 0.500 0.500 0.500 x1
In 0.000 0.000 0.500 x3

Values from the calculation:
total moment = 0.0 μB per cell
DOS at the Fermi energy = 0.87 states/eV/atom



Which of them is least stable? Easy: Q.



P | Entry from Alexandria: an optimized crystal structure of LaHf3In (PBE).

a b c (Å): 5.161 5.161 5.161
angles (deg): 90.00 90.00 90.00
Space group Pm-3m (No. 221)
Symmetry-distinct sites (fractional):
La 0.000 0.000 0.000 x1
Hf 0.000 0.000 0.500 x3
In 0.500 0.500 0.500 x1

Values from the calculation:
total moment = 0.0 μB per cell
DOS at the Fermi energy = 0.70 states/eV/atom



Q | Entry from Alexandria: an optimized crystal structure of LaHf3In (PBE).

a b c (Å): 5.345 5.345 5.345
angles (deg): 90.00 90.00 90.00
Space group Pm-3m (No. 221)
Symmetry-distinct sites (fractional):
La 0.000 0.000 0.000 x1
Hf 0.000 0.500 0.500 x3
In 0.500 0.500 0.500 x1

Values from the calculation:
total moment = 1.9 μB per cell
DOS at the Fermi energy = 2.03 states/eV/atom



Which of them is least stable? Easy: P.



P | Entry from Alexandria: an optimized crystal structure of Li2HfIn2 (PBE).

a b c (Å): 7.955 7.955 2.982
angles (deg): 90.00 90.00 90.00
Space group P4/mbm (No. 127)
Symmetry-distinct sites (fractional):
Li 0.115 0.385 0.000 x4
Hf 0.000 0.000 0.000 x2
In 0.183 0.683 0.500 x4

Values from the calculation:
total moment = 0.0 μB per cell
DOS at the Fermi energy = 0.29 states/eV/atom



Q | Entry from Alexandria: an optimized crystal structure of Li2HfIn2 (PBE).

a b c (Å): 3.891 3.891 13.526
angles (deg): 90.00 90.00 90.00
Space group I4/mmm (No. 139)
Symmetry-distinct sites (fractional):
Li 0.000 0.500 0.250 x4
Hf 0.000 0.000 0.000 x2
In 0.000 0.000 0.395 x4

Values from the calculation:
total moment = 0.0 μB per cell
DOS at the Fermi energy = 0.53 states/eV/atom



Which of them is least stable? Easy: Q.



P | Entry from Alexandria: an optimized crystal structure of LiHf2InRh (PBE).

a b c (Å): 4.962 4.962 4.575
angles (deg): 90.00 90.00 90.00
Space group P4/mmm (No. 123)
Symmetry-distinct sites (fractional):
Li 0.000 0.000 0.000 x1
Hf 0.000 0.500 0.500 x2
In 0.500 0.500 0.000 x1
Rh 0.000 0.000 0.500 x1

Values from the calculation:
total moment = 0.0 μB per cell
DOS at the Fermi energy = 0.85 states/eV/atom



Q | Entry from Alexandria: an optimized crystal structure of LiHf2InRh (PBE).

a b c (Å): 4.717 4.717 4.192
angles (deg): 90.00 90.00 90.00
Space group P4/mmm (No. 123)
Symmetry-distinct sites (fractional):
Li 0.000 0.000 0.000 x1
Hf 0.000 0.500 0.000 x2
In 0.500 0.500 0.500 x1
Rh 0.000 0.000 0.500 x1

Values from the calculation:
total moment = 0.0 μB per cell
DOS at the Fermi energy = 0.95 states/eV/atom



Which of them is least stable? Easy: Q.



P | Entry from Alexandria: an optimized crystal structure of HfMgIn3 (PBE).

a b c (Å): 5.187 5.187 5.187
angles (deg): 90.00 90.00 90.00
Space group Pm-3m (No. 221)
Symmetry-distinct sites (fractional):
Hf 0.000 0.000 0.000 x1
Mg 0.500 0.500 0.500 x1
In 0.000 0.500 0.500 x3

Values from the calculation:
total moment = 0.0 μB per cell
DOS at the Fermi energy = 1.20 states/eV/atom



Q | Entry from Alexandria: an optimized crystal structure of HfMgIn3 (PBE).

a b c (Å): 5.943 5.964 9.158
angles (deg): 71.78 71.55 60.79
Space group P-1 (No. 2)
Symmetry-distinct sites (fractional):
Hf 0.116 0.115 0.092 x2
Mg 0.344 0.339 0.496 x2
In 0.086 0.578 0.213 x2
In 0.406 0.406 0.827 x2
In 0.423 0.913 0.788 x2

Values from the calculation:
total moment = 0.0 μB per cell
DOS at the Fermi energy = 0.48 states/eV/atom



Which of them is least stable? Easy: P.



P | Entry from Alexandria: an optimized crystal structure of HfMgIn3 (PBE).

a b c (Å): 5.575 5.575 5.575
angles (deg): 90.00 90.00 90.00
Space group Pm-3m (No. 221)
Symmetry-distinct sites (fractional):
Hf 0.000 0.000 0.000 x1
Mg 0.500 0.500 0.500 x1
In 0.000 0.000 0.500 x3

Values from the calculation:
total moment = 0.0 μB per cell
DOS at the Fermi energy = 1.42 states/eV/atom



Q | Entry from Alexandria: an optimized crystal structure of HfMgIn3 (PBE).

a b c (Å): 8.546 5.742 10.121
angles (deg): 90.00 108.45 90.00
Space group P2_1/c (No. 14)
Symmetry-distinct sites (fractional):
Hf 0.108 0.238 0.030 x4
Mg 0.492 0.654 0.363 x4
In 0.046 0.526 0.258 x4
In 0.266 0.734 0.057 x4
In 0.339 0.155 0.350 x4

Values from the calculation:
total moment = 0.0 μB per cell
DOS at the Fermi energy = 0.62 states/eV/atom



Which of them is least stable? Easy: P.



P | Entry from Alexandria: an optimized crystal structure of Hf3MnIn (PBE).

a b c (Å): 4.805 4.805 4.805
angles (deg): 90.00 90.00 90.00
Space group Pm-3m (No. 221)
Symmetry-distinct sites (fractional):
Hf 0.000 0.000 0.500 x3
Mn 0.000 0.000 0.000 x1
In 0.500 0.500 0.500 x1

Values from the calculation:
total moment = 0.0 μB per cell
DOS at the Fermi energy = 2.05 states/eV/atom



Q | Entry from Alexandria: an optimized crystal structure of Hf3MnIn (PBE).

a b c (Å): 5.156 5.156 5.156
angles (deg): 90.00 90.00 90.00
Space group Pm-3m (No. 221)
Symmetry-distinct sites (fractional):
Hf 0.000 0.000 0.500 x3
Mn 0.500 0.500 0.500 x1
In 0.000 0.000 0.000 x1

Values from the calculation:
total moment = 0.4 μB per cell
DOS at the Fermi energy = 2.99 states/eV/atom



R | Entry from Alexandria: an optimized crystal structure of Hf3MnIn (PBE).

a b c (Å): 7.371 3.323 8.438
angles (deg): 90.00 101.43 90.00
Space group P2_1/m (No. 11)
Symmetry-distinct sites (fractional):
Hf 0.116 0.250 0.150 x2
Hf 0.177 0.750 0.507 x2
Hf 0.321 0.750 0.917 x2
Mn 0.113 0.250 0.736 x2
In 0.476 0.750 0.299 x2

Values from the calculation:
total moment = 0.0 μB per cell
DOS at the Fermi energy = 0.94 states/eV/atom



Which of them is least stable? Easy: Q.



P | Entry from Alexandria: an optimized crystal structure of Hf3InMo (PBE).

a b c (Å): 5.108 5.108 5.108
angles (deg): 90.00 90.00 90.00
Space group Pm-3m (No. 221)
Symmetry-distinct sites (fractional):
Hf 0.000 0.000 0.500 x3
In 0.000 0.000 0.000 x1
Mo 0.500 0.500 0.500 x1

Values from the calculation:
total moment = 0.0 μB per cell
DOS at the Fermi energy = 1.95 states/eV/atom



Q | Entry from Alexandria: an optimized crystal structure of Hf3InMo (PBE).

a b c (Å): 6.791 6.791 6.791
angles (deg): 90.00 90.00 90.00
Space group Pm-3m (No. 221)
Symmetry-distinct sites (fractional):
Hf 0.000 0.000 0.000 x1
Hf 0.266 0.266 0.266 x8
In 0.000 0.000 0.500 x3
Mo 0.000 0.500 0.500 x3

Values from the calculation:
total moment = 0.0 μB per cell
DOS at the Fermi energy = 1.18 states/eV/atom



R | Entry from Alexandria: an optimized crystal structure of Hf3InMo (PBE).

a b c (Å): 5.026 5.026 5.026
angles (deg): 90.00 90.00 90.00
Space group Pm-3m (No. 221)
Symmetry-distinct sites (fractional):
Hf 0.000 0.000 0.500 x3
In 0.500 0.500 0.500 x1
Mo 0.000 0.000 0.000 x1

Values from the calculation:
total moment = 0.0 μB per cell
DOS at the Fermi energy = 1.80 states/eV/atom



Which of them is least stable? Easy: P.



P | Entry from Alexandria: an optimized crystal structure of HfInMo3 (PBE).

a b c (Å): 4.852 4.852 4.852
angles (deg): 90.00 90.00 90.00
Space group Pm-3m (No. 221)
Symmetry-distinct sites (fractional):
Hf 0.000 0.000 0.000 x1
In 0.500 0.500 0.500 x1
Mo 0.000 0.500 0.500 x3

Values from the calculation:
total moment = 0.0 μB per cell
DOS at the Fermi energy = 1.58 states/eV/atom



Q | Entry from Alexandria: an optimized crystal structure of HfInMo3 (PBE).

a b c (Å): 4.811 4.811 4.811
angles (deg): 90.00 90.00 90.00
Space group Pm-3m (No. 221)
Symmetry-distinct sites (fractional):
Hf 0.000 0.000 0.000 x1
In 0.500 0.500 0.500 x1
Mo 0.000 0.000 0.500 x3

Values from the calculation:
total moment = 0.0 μB per cell
DOS at the Fermi energy = 1.17 states/eV/atom



Which of them is least stable? Easy: P.



P | Entry from Alexandria: an optimized crystal structure of Hf6In2N (PBE).

a b c (Å): 8.923 8.923 8.923
angles (deg): 90.00 90.00 90.00
Space group Fm-3m (No. 225)
Symmetry-distinct sites (fractional):
Hf 0.000 0.000 0.245 x24
In 0.250 0.250 0.250 x8
N 0.000 0.000 0.500 x4

Values from the calculation:
total moment = 0.0 μB per cell
DOS at the Fermi energy = 1.29 states/eV/atom



Q | Entry from Alexandria: an optimized crystal structure of Hf6In2N (PBE).

a b c (Å): 10.945 6.307 5.154
angles (deg): 90.00 90.06 90.00
Space group C2/m (No. 12)
Symmetry-distinct sites (fractional):
Hf 0.083 0.249 0.244 x8
Hf 0.166 0.000 0.754 x4
In 0.167 0.500 0.746 x4
N 0.000 0.000 0.500 x2

Values from the calculation:
total moment = 0.0 μB per cell
DOS at the Fermi energy = 1.14 states/eV/atom



Which of them is least stable? Easy: P.



P | Entry from Alexandria: an optimized crystal structure of Hf4In2N (PBE).

a b c (Å): 4.354 4.354 15.118
angles (deg): 90.00 90.00 90.00
Space group I4/mmm (No. 139)
Symmetry-distinct sites (fractional):
Hf 0.000 0.000 0.152 x4
Hf 0.000 0.500 0.000 x4
In 0.000 0.000 0.352 x4
N 0.000 0.000 0.000 x2

Values from the calculation:
total moment = 0.0 μB per cell
DOS at the Fermi energy = 0.66 states/eV/atom



Q | Entry from Alexandria: an optimized crystal structure of Hf4In2N (PBE).

a b c (Å): 5.048 20.517 3.098
angles (deg): 90.00 90.00 90.00
Space group Cmmm (No. 65)
Symmetry-distinct sites (fractional):
Hf 0.000 0.073 0.000 x4
Hf 0.000 0.203 0.500 x4
In 0.000 0.343 0.000 x4
N 0.000 0.000 0.500 x2

Values from the calculation:
total moment = 0.0 μB per cell
DOS at the Fermi energy = 0.83 states/eV/atom



Which of them is least stable? Easy: Q.